# Co2AsClO4 (GGA+U, relaxed)
# * spin magnetization: 12.00 μB/cell
# * total DFT energy (no corrections): -5.69 eV per atom
data_Co2AsClO4
_cell_length_a 4.932
_cell_length_b 6.658
_cell_length_c 6.797
_cell_angle_alpha 90.00
_cell_angle_beta 90.71
_cell_angle_gamma 90.00
_space_group_name_H-M_alt 'P 1 21/m 1'
_space_group_IT_number 11
_space_group_name_Hall '-P 2yb'
loop_
_atom_site_label
_atom_site_type_symbol
_atom_site_fract_x
_atom_site_fract_y
_atom_site_fract_z
Co1 Co 0.000 0.000 0.000
Co2 Co 0.346 0.250 0.263
As1 As 0.491 0.250 0.757
Cl1 Cl 0.170 0.750 0.757
O1 O 0.242 0.250 0.941
O2 O 0.302 0.545 0.205
O3 O 0.311 0.250 0.547